(1)
Material: LaAl2W
Method: DFT, PBE-GGA
State: optimized geometry

Output
The value obtained for the total energy is -24.1 eV/cell. The volume is 79 Å³/cell. The value obtained for the energy above the most stable polymorph in this dataset is 347 meV per atom.

Cell: 6.6072 5.3043 2.9821 Å, 86.96 68.52 121.32°
Fractional positions:
Al1 0.0000 0.0000 0.0000
Al2 0.5000 0.0000 0.5000
W1 0.5000 0.5000 0.0000
La1 0.0000 0.5000 0.5000



(2)
Material: LaAlW2
Method: DFT, PBE-GGA
State: optimized geometry

Output
The value obtained for the total energy is -32.7 eV/cell. The volume is 81 Å³/cell.

Cell: 4.2915 2.8538 7.3049 Å, 65.37 90.00 90.00°
Fractional positions:
Al1 0.5000 0.2500 0.2500
W1 0.0000 0.8563 0.0686
W2 0.0000 0.6437 0.4314
La1 0.5000 0.7500 0.7500



(3)
Material: LaAlW
Method: DFT, PBE-GGA
State: optimized geometry

Output
The value obtained for the total energy is -20.6 eV/cell. The volume is 62 Å³/cell. The value obtained for the energy above the most stable polymorph in this dataset is 14 meV per atom.

Cell: 7.5660 7.5660 2.9172 Å, 78.88 78.88 22.23°
Fractional positions:
Al1 0.0191 0.0191 0.9809
W1 0.6494 0.6494 0.3506
La1 0.3315 0.3315 0.6685



(4)
Material: LaAl2ZnW
Method: DFT, PBE-GGA
State: optimized geometry

Output
The value obtained for the total energy is -24.2 eV/cell. The volume is 134 Å³/cell.

Cell: 5.0079 5.3407 5.0079 Å, 90.00 90.00 90.00°
Last column: magnetic moment on the atom in μB.
Fractional positions:
Zn1 0.5000 0.5000 0.5000  0.00
Al1 0.0000 0.0000 0.5000  0.00
Al2 0.5000 0.0000 0.0000  0.00
W1 0.0000 0.0000 0.0000  0.10
La1 0.0000 0.5000 0.0000  0.06



(5)
Material: LaZr2AlW
Method: DFT, PBE-GGA
State: optimized geometry

Output
The value obtained for the total energy is -30.3 eV/cell. The volume is 125 Å³/cell.

Cell: 5.0772 4.8563 5.0772 Å, 90.00 90.00 90.00°
Fractional positions:
Al1 0.5000 0.5000 0.5000
Zr1 0.0000 0.0000 0.5000
Zr2 0.5000 0.0000 0.0000
W1 0.0000 0.5000 0.0000
La1 0.0000 0.0000 0.0000



(6)
Material: La3YAl
Method: DFT, PBE-GGA
State: optimized geometry

Output
The value obtained for the total energy is -23.4 eV/cell. The volume is 199 Å³/cell. The value obtained for the energy above the most stable polymorph in this dataset is 0 meV per atom.

Cell: 5.8370 5.8370 5.8370 Å, 90.00 90.00 90.00°
Fractional positions:
Y1 0.5000 0.5000 0.5000
Al1 0.0000 0.0000 0.0000
La1 0.0000 0.5000 0.0000
La2 0.0000 0.0000 0.5000
La3 0.5000 0.0000 0.0000



(7)
Material: LaY2Al
Method: DFT, PBE-GGA
State: optimized geometry

Output
The value obtained for the total energy is -22.4 eV/cell. The volume is 120 Å³/cell.

Cell: 6.6023 6.6023 5.4940 Å, 65.40 65.40 33.67°
Fractional positions:
Y1 0.0367 0.0367 0.9633
Y2 0.4633 0.4633 0.5367
Al1 0.7500 0.7500 0.7500
La1 0.2500 0.2500 0.2500



(8)
Material: LaY3Al
Method: DFT, PBE-GGA
State: optimized geometry

Output
The value obtained for the total energy is -27.0 eV/cell. The volume is 175 Å³/cell. The value obtained for the energy above the most stable polymorph in this dataset is 354 meV per atom.

Cell: 5.5976 5.5976 5.5976 Å, 90.00 90.00 90.00°
Fractional positions:
Y1 0.0000 0.5000 0.0000
Y2 0.0000 0.0000 0.5000
Y3 0.5000 0.0000 0.0000
Al1 0.0000 0.0000 0.0000
La1 0.5000 0.5000 0.5000



- Number 8 is which compound?
  LaY3Al